Density functional theory data (PBE) for an optimized crystal structure of AgSe3I.

**Space group**: Pm-3m, No. 221
**Energy**: -11.56 eV per cell
**Size of the total moment**: 0.00 μB per cell
**Formation energy from raw total energies**: 0.658 eV/atom
**ΔE to the lowest computed polymorph**: 751 meV per atom

Unit cell a=5.122 b=5.122 c=5.122 alpha=90.00 beta=90.00 gamma=90.00
Fractional coordinates of all 5 atoms:
Se 0.000 0.500 0.000
Se 0.500 0.000 0.000
Se 0.000 0.000 0.500
Ag 0.000 0.000 0.000
I 0.500 0.500 0.500

***

Density functional theory data (PBE) for an optimized crystal structure of AgSeI2.

**Space group**: Fm-3m, No. 225
**Energy**: -7.31 eV per cell
**Size of the total moment**: 0.00 μB per cell
**Formation energy from raw total energies**: 0.530 eV/atom
**ΔE to the lowest computed polymorph**: 405 meV per atom

Unit cell a=5.377 b=5.377 c=5.377 alpha=60.00 beta=60.00 gamma=60.00
Fractional coordinates of all 4 atoms:
I 0.250 0.250 0.250
I 0.750 0.750 0.750
Se 0.000 0.000 0.000
Ag 0.500 0.500 0.500

***

Density functional theory data (PBE) for an optimized crystal structure of AgSe2I2.

**Space group**: P4/mbm, No. 127
**Energy**: -24.26 eV per cell
**Size of the total moment**: 0.00 μB per cell
**Formation energy from raw total energies**: 0.158 eV/atom
**ΔE to the lowest computed polymorph**: 0 meV per atom

Unit cell a=7.918 b=7.918 c=5.175 alpha=90.00 beta=90.00 gamma=90.00
Fractional coordinates of all 10 atoms:
Se 0.743 0.243 0.000
Se 0.243 0.257 0.000
Se 0.257 0.757 0.000
Se 0.757 0.743 0.000
I 0.673 0.827 0.500
I 0.827 0.327 0.500
I 0.173 0.673 0.500
I 0.327 0.173 0.500
Ag 0.000 0.000 0.000
Ag 0.500 0.500 0.000

***

Density functional theory data (PBE) for an optimized crystal structure of AgSe2I6.

**Space group**: C2/c, No. 15
**Energy**: -38.55 eV per cell
**Size of the total moment**: 0.00 μB per cell
**Formation energy from raw total energies**: -0.017 eV/atom
**ΔE to the lowest computed polymorph**: 0 meV per atom

Unit cell a=8.263 b=11.557 c=11.557 alpha=73.49 beta=68.93 gamma=68.93
Fractional coordinates of all 18 atoms:
I 0.473 0.275 0.274
I 0.061 0.817 0.062
I 0.100 0.168 0.629
I 0.439 0.938 0.183
I 0.939 0.183 0.938
I 0.600 0.629 0.168
I 0.027 0.726 0.725
I 0.527 0.725 0.726
I 0.973 0.274 0.275
I 0.400 0.371 0.832
I 0.561 0.062 0.817
I 0.900 0.832 0.371
Se 0.766 0.868 0.602
Se 0.234 0.132 0.398
Se 0.734 0.398 0.132
Se 0.266 0.602 0.868
Ag 0.750 0.000 0.000
Ag 0.250 0.000 0.000

***

Density functional theory data (PBE) for an optimized crystal structure of AgSeI2.

**Space group**: R-3m, No. 166
**Energy**: -8.94 eV per cell
**Size of the total moment**: 0.19 μB per cell
**Formation energy from raw total energies**: 0.125 eV/atom
**ΔE to the lowest computed polymorph**: 0 meV per atom

Unit cell a=4.344 b=4.344 c=9.112 alpha=76.21 beta=76.21 gamma=60.00
Last column: magnetic moment on the atom in μB.
Fractional coordinates of all 4 atoms:
Se 0.000 0.000 0.000  0.10
I 0.104 0.104 0.689  0.01
I 0.896 0.896 0.311  0.01
Ag 0.500 0.500 0.500  0.01

***

Density functional theory data (PBE) for an optimized crystal structure of Ag4SeI.

**Space group**: C2/c, No. 15
**Energy**: -31.94 eV per cell
**Size of the total moment**: 0.00 μB per cell
**Formation energy from raw total energies**: 0.078 eV/atom

Unit cell a=5.807 b=8.109 c=8.019 alpha=121.29 beta=112.41 gamma=87.83
Fractional coordinates of all 12 atoms:
Se 0.902 0.152 0.305
Se 0.098 0.848 0.695
Ag 0.173 0.896 0.095
Ag 0.422 0.200 0.095
Ag 0.720 0.972 0.447
Ag 0.773 0.525 0.553
Ag 0.280 0.028 0.553
Ag 0.578 0.800 0.905
Ag 0.227 0.475 0.447
Ag 0.827 0.104 0.905
I 0.648 0.398 0.796
I 0.352 0.602 0.204

***

Density functional theory data (PBE) for an optimized crystal structure of SrAgSeI.

**Space group**: R-3m, No. 166
**Energy**: -28.54 eV per cell
**Size of the total moment**: 0.00 μB per cell
**Formation energy from raw total energies**: -1.176 eV/atom

Unit cell a=4.569 b=4.569 c=15.241 alpha=81.38 beta=81.38 gamma=60.00
Fractional coordinates of all 8 atoms:
I 0.711 0.711 0.867
I 0.289 0.289 0.133
Se 0.875 0.875 0.376
Se 0.125 0.125 0.624
Ag 0.187 0.187 0.439
Ag 0.813 0.813 0.561
Sr 0.421 0.421 0.738
Sr 0.579 0.579 0.262

***

Density functional theory data (PBE) for an optimized crystal structure of Ag5TeSe4I2.

**Space group**: Amm2, No. 38
**Energy**: -35.02 eV per cell
**Size of the total moment**: 0.00 μB per cell
**Formation energy from raw total energies**: -0.048 eV/atom

Unit cell a=6.382 b=7.538 c=8.132 alpha=90.00 beta=90.00 gamma=115.04
Fractional coordinates of all 12 atoms:
Se 0.658 0.000 0.239
Se 0.054 0.609 0.000
Se 0.658 0.000 0.761
Se 0.445 0.391 0.000
Te 0.391 0.000 0.000
Ag 0.054 0.317 0.190
Ag 0.054 0.317 0.810
Ag 0.404 0.000 0.500
Ag 0.738 0.683 0.190
Ag 0.738 0.683 0.810
I 0.949 0.685 0.500
I 0.263 0.315 0.500

***

Density functional theory data (PBE) for an optimized crystal structure of AgTe2SeI.

**Space group**: P4/mmm, No. 123
**Energy**: -10.80 eV per cell
**Size of the total moment**: 0.00 μB per cell
**Formation energy from raw total energies**: 0.674 eV/atom
**ΔE to the lowest computed polymorph**: 131 meV per atom

Unit cell a=5.503 b=5.503 c=5.362 alpha=90.00 beta=90.00 gamma=90.00
Fractional coordinates of all 5 atoms:
Te 0.000 0.500 0.000
Te 0.500 0.000 0.000
I 0.000 0.000 0.500
Ag 0.000 0.000 0.000
Se 0.500 0.500 0.500

***

Density functional theory data (PBE) for an optimized crystal structure of Ag6TeSeI2.

**Space group**: C2/m, No. 12
**Energy**: -27.31 eV per cell
**Size of the total moment**: 0.00 μB per cell
**Formation energy from raw total energies**: -0.048 eV/atom

Unit cell a=7.062 b=7.373 c=7.366 alpha=120.03 beta=118.51 gamma=90.00
Fractional coordinates of all 10 atoms:
Ag 0.855 0.362 0.204
Ag 0.855 0.842 0.204
Ag 0.688 0.257 0.513
Ag 0.312 0.743 0.487
Ag 0.145 0.158 0.796
Ag 0.145 0.638 0.796
I 0.253 0.246 0.492
I 0.747 0.754 0.508
Se 0.000 0.500 0.000
Te 0.500 0.000 0.000

***

Density functional theory data (PBE) for an optimized crystal structure of AgTeSeI.

**Space group**: Cm, No. 8
**Energy**: -11.07 eV per cell
**Size of the total moment**: 0.00 μB per cell
**Formation energy from raw total energies**: -0.010 eV/atom

Unit cell a=4.763 b=4.763 c=8.954 alpha=88.32 beta=106.22 gamma=122.00
Fractional coordinates of all 4 atoms:
Ag 0.238 0.988 0.227
Se 0.451 0.094 0.546
I 0.498 0.631 0.129
Te 0.141 0.487 0.628

***

Density functional theory data (PBE) for an optimized crystal structure of AgTe2SeI.

**Space group**: P4/mmm, No. 123
**Energy**: -11.45 eV per cell
**Size of the total moment**: 0.00 μB per cell
**Formation energy from raw total energies**: 0.544 eV/atom
**ΔE to the lowest computed polymorph**: 0 meV per atom

Unit cell a=5.575 b=5.575 c=5.560 alpha=90.00 beta=90.00 gamma=90.00
Fractional coordinates of all 5 atoms:
Te 0.000 0.500 0.000
Te 0.500 0.000 0.000
Se 0.000 0.000 0.000
I 0.000 0.000 0.500
Ag 0.500 0.500 0.500

***

> Number 1 is which compound?

AgSe3I

***

> Which of these has the highest size of the total moment?

number 5